(1)
A geometry-optimized ScPaMo structure, computed with PBE.

Unit cell a=9.0678 b=5.6976 c=5.6976 alpha=62.76 beta=90.00 gamma=90.00
With the nearest neighbours (Å) after each atom.
Positions (direct):
Sc 0.1695 0.0000 0.0000  2 Sc 3.07-3.34, 7 Mo 3.22-3.40, 5 Pa 3.27-3.43
Sc 0.2846 0.6736 0.6736  3 Mo 3.03-3.07, 1 Sc 3.34, 3 Pa 3.37-3.38
Sc 0.7154 0.6736 0.6736  3 Mo 3.03-3.07, 1 Sc 3.34, 3 Pa 3.37-3.38
Sc 0.8305 0.0000 0.0000  2 Sc 3.07-3.34, 7 Mo 3.22-3.40, 5 Pa 3.27-3.43
Pa 0.2278 0.3316 0.3316  4 Mo 2.65-2.95
Pa 0.5000 0.1686 0.6840  2 Mo 2.74-2.96, 4 Pa 2.88-3.06
Pa 0.5000 0.6840 0.1686  2 Mo 2.74-2.96, 4 Pa 2.88-3.06
Pa 0.7722 0.3316 0.3316  4 Mo 2.65-2.95
Mo 0.0000 0.5023 0.9865  2 Pa 2.71, 3 Mo 2.75-2.94
Mo 0.0000 0.5028 0.5028  2 Pa 2.65, 4 Mo 2.75-2.94
Mo 0.0000 0.9865 0.5023  2 Pa 2.71, 3 Mo 2.75-2.94
Mo 0.5000 0.1659 0.1659  6 Pa 2.74-2.96

Results
Density (Mg/m³): 9.44
Offset from the most stable computed form (kJ per mole of atoms): 5.4
Formation enthalpy at 0 K (eV/atom): 0.12

(2)
A geometry-optimized ScPaSnMo structure, computed with PBE.

Unit cell a=7.0690 b=7.0690 c=7.0690 alpha=90.00 beta=90.00 gamma=90.00
With the nearest neighbours (Å) after each atom.
Positions (direct):
Sc 0.0000 0.0000 0.0000  4 Mo 3.06, 4 Sn 3.06
Sc 0.0000 0.5000 0.5000  4 Mo 3.06, 4 Sn 3.06
Sc 0.5000 0.0000 0.5000  4 Mo 3.06, 4 Sn 3.06
Sc 0.5000 0.5000 0.0000  4 Mo 3.06, 4 Sn 3.06
Pa 0.0000 0.0000 0.5000  4 Mo 3.06, 4 Sn 3.06
Pa 0.0000 0.5000 0.0000  4 Mo 3.06, 4 Sn 3.06
Pa 0.5000 0.0000 0.0000  4 Mo 3.06, 4 Sn 3.06
Pa 0.5000 0.5000 0.5000  4 Mo 3.06, 4 Sn 3.06
Sn 0.2500 0.2500 0.7500  4 Pa 3.06, 4 Sc 3.06
Sn 0.2500 0.7500 0.2500  4 Pa 3.06, 4 Sc 3.06
Sn 0.7500 0.2500 0.2500  4 Pa 3.06, 4 Sc 3.06
Sn 0.7500 0.7500 0.7500  4 Pa 3.06, 4 Sc 3.06
Mo 0.2500 0.2500 0.2500  4 Pa 3.06, 4 Sc 3.06
Mo 0.2500 0.7500 0.7500  4 Pa 3.06, 4 Sc 3.06
Mo 0.7500 0.2500 0.7500  4 Pa 3.06, 4 Sc 3.06
Mo 0.7500 0.7500 0.2500  4 Pa 3.06, 4 Sc 3.06

Results
Density (Mg/m³): 9.23
Formation enthalpy at 0 K (eV/atom): 0.01

(3)
A geometry-optimized ScPaVMo structure, computed with PBE.

Unit cell a=6.6790 b=6.6790 c=6.6790 alpha=90.00 beta=90.00 gamma=90.00
With the nearest neighbours (Å) after each atom.
Positions (direct):
Sc 0.0000 0.0000 0.0000  4 V 2.89, 4 Mo 2.89
Sc 0.0000 0.5000 0.5000  4 V 2.89, 4 Mo 2.89
Sc 0.5000 0.0000 0.5000  4 V 2.89, 4 Mo 2.89
Sc 0.5000 0.5000 0.0000  4 V 2.89, 4 Mo 2.89
Pa 0.0000 0.0000 0.5000  4 Mo 2.89, 4 V 2.89
Pa 0.0000 0.5000 0.0000  4 Mo 2.89, 4 V 2.89
Pa 0.5000 0.0000 0.0000  4 Mo 2.89, 4 V 2.89
Pa 0.5000 0.5000 0.5000  4 Mo 2.89, 4 V 2.89
V 0.2500 0.2500 0.2500  4 Pa 2.89, 4 Sc 2.89
V 0.2500 0.7500 0.7500  4 Pa 2.89, 4 Sc 2.89
V 0.7500 0.2500 0.7500  4 Pa 2.89, 4 Sc 2.89
V 0.7500 0.7500 0.2500  4 Pa 2.89, 4 Sc 2.89
Mo 0.2500 0.2500 0.7500  4 Pa 2.89, 4 Sc 2.89
Mo 0.2500 0.7500 0.2500  4 Pa 2.89, 4 Sc 2.89
Mo 0.7500 0.2500 0.2500  4 Pa 2.89, 4 Sc 2.89
Mo 0.7500 0.7500 0.7500  4 Sc 2.89, 4 Pa 2.89

Results
Density (Mg/m³): 9.43
Formation enthalpy at 0 K (eV/atom): 0.08

(4)
A geometry-optimized ScPaZnMo structure, computed with PBE.

Unit cell a=6.8359 b=6.8359 c=6.8359 alpha=90.00 beta=90.00 gamma=90.00
With the nearest neighbours (Å) after each atom.
Positions (direct):
Sc 0.0000 0.0000 0.0000  4 Zn 2.96, 4 Mo 2.96
Sc 0.0000 0.5000 0.5000  4 Zn 2.96, 4 Mo 2.96
Sc 0.5000 0.0000 0.5000  4 Zn 2.96, 4 Mo 2.96
Sc 0.5000 0.5000 0.0000  4 Zn 2.96, 4 Mo 2.96
Pa 0.0000 0.0000 0.5000  4 Mo 2.96, 4 Zn 2.96
Pa 0.0000 0.5000 0.0000  4 Mo 2.96, 4 Zn 2.96
Pa 0.5000 0.0000 0.0000  4 Mo 2.96, 4 Zn 2.96
Pa 0.5000 0.5000 0.5000  4 Mo 2.96, 4 Zn 2.96
Zn 0.2500 0.2500 0.7500  4 Pa 2.96, 4 Sc 2.96
Zn 0.2500 0.7500 0.2500  4 Pa 2.96, 4 Sc 2.96
Zn 0.7500 0.2500 0.2500  4 Pa 2.96, 4 Sc 2.96
Zn 0.7500 0.7500 0.7500  4 Pa 2.96, 4 Sc 2.96
Mo 0.2500 0.2500 0.2500  4 Pa 2.96, 4 Sc 2.96
Mo 0.2500 0.7500 0.7500  4 Pa 2.96, 4 Sc 2.96
Mo 0.7500 0.2500 0.7500  4 Pa 2.96, 4 Sc 2.96
Mo 0.7500 0.7500 0.2500  4 Pa 2.96, 4 Sc 2.96

Results
Density (Mg/m³): 9.09
Formation enthalpy at 0 K (eV/atom): 0.02

(5)
A geometry-optimized ZrScPaMo structure, computed with PBE.

Unit cell a=6.9427 b=6.9427 c=6.9427 alpha=90.00 beta=90.00 gamma=90.00
With the nearest neighbours (Å) after each atom.
Positions (direct):
Zr 0.0000 0.0000 0.0000  4 Pa 3.01, 4 Sc 3.01
Zr 0.0000 0.5000 0.5000  4 Pa 3.01, 4 Sc 3.01
Zr 0.5000 0.0000 0.5000  4 Pa 3.01, 4 Sc 3.01
Zr 0.5000 0.5000 0.0000  4 Pa 3.01, 4 Sc 3.01
Sc 0.2500 0.2500 0.7500  4 Zr 3.01, 4 Mo 3.01
Sc 0.2500 0.7500 0.2500  4 Zr 3.01, 4 Mo 3.01
Sc 0.7500 0.2500 0.2500  4 Zr 3.01, 4 Mo 3.01
Sc 0.7500 0.7500 0.7500  4 Zr 3.01, 4 Mo 3.01
Pa 0.2500 0.2500 0.2500  4 Zr 3.01, 4 Mo 3.01
Pa 0.2500 0.7500 0.7500  4 Zr 3.01, 4 Mo 3.01
Pa 0.7500 0.2500 0.7500  4 Zr 3.01, 4 Mo 3.01
Pa 0.7500 0.7500 0.2500  4 Zr 3.01, 4 Mo 3.01
Mo 0.0000 0.0000 0.5000  4 Pa 3.01, 4 Sc 3.01
Mo 0.0000 0.5000 0.0000  4 Pa 3.01, 4 Sc 3.01
Mo 0.5000 0.0000 0.0000  4 Pa 3.01, 4 Sc 3.01
Mo 0.5000 0.5000 0.5000  4 Pa 3.01, 4 Sc 3.01

Results
Density (Mg/m³): 9.19
Formation enthalpy at 0 K (eV/atom): 0.09

(6)
A geometry-optimized Pa2MoSe structure, computed with PBE.

Unit cell a=3.3962 b=3.3962 c=7.4998 alpha=90.00 beta=90.00 gamma=90.00
With the nearest neighbours (Å) after each atom.
Positions (direct):
Pa 0.0000 0.0000 0.2363  4 Mo 2.98, 4 Se 3.11
Pa 0.0000 0.0000 0.7637  4 Mo 2.98, 4 Se 3.11
Mo 0.5000 0.5000 0.0000  8 Pa 2.98
Se 0.5000 0.5000 0.5000  8 Pa 3.11, 4 Se 3.40

Results
Density (Mg/m³): 12.23
Offset from the most stable computed form (kJ per mole of atoms): 0.0
E_form (uncorrected) (meV/atom): -401.8